AsHSBr2: optimized geometry, PBE.

Cell: 5.2008 5.2008 3.5248 Å, 90.00 90.00 90.00°
Last column: nearest neighbours and their distance in Å.
Space group P4/mmm (No. 123)
Unique sites:
As 0.0000 0.0000 0.0000 (multiplicity 1)  2 H 1.76
H 0.0000 0.0000 0.5000 (multiplicity 1)  2 As 1.76
S 0.5000 0.5000 0.0000 (multiplicity 1)  8 Br 3.14
Br 0.0000 0.5000 0.5000 (multiplicity 2)  2 H 2.60

Computed properties:
Total energy: -11.43 eV/cell
Theoretical density: 4.7 g/cm³
Total magnetic moment: 1.1 μB/cell